First-principles (SCAN) data for a PBEsol-optimized structure of Be2WCl, as listed in Alexandria.

## Properties
N(E_F) ... 0.65 states/eV/atom
Crystal system ... tetragonal
SG ... No. 99
Mass density ... 6.76 Mg/m³
Uncorrected formation energy ... 541 meV per atom
Magnetic moment ... 0.00 μB/f.u.

a b c (Å): 2.7985 2.7985 7.4439
angles (deg): 90.00 90.00 90.00
With the nearest neighbours (Å) after each atom.
Element x y z (fractional)
Be 0.5000 0.5000 0.1350  4 Be 2.20
Cl 0.0000 0.0000 0.5670  4 W 2.60, 4 Cl 2.80
Be 0.0000 0.0000 0.0049  4 Be 2.20
W 0.5000 0.5000 0.7931  5 Be 2.53-2.54, 4 Cl 2.60, 4 W 2.80



First-principles (SCAN) data for a PBEsol-optimized structure of ZnFe2P, as listed in Alexandria.

## Properties
N(E_F) ... 0.70 states/eV/atom
Crystal system ... cubic
SG ... No. 225
DFT formation energy ... 0.38 eV/f.u.
Mass density ... 8.27 Mg/m³
Magnetic moment ... 0.00 μB/f.u.

a b c (Å): 3.8957 3.8957 3.8949
angles (deg): 120.01 120.01 90.00
With the nearest neighbours (Å) after each atom.
Element x y z (fractional)
Fe 0.7500 0.2500 0.5000  4 P 2.39, 4 Zn 2.39
Zn 0.0000 0.0000 0.0000  8 Fe 2.39
Fe 0.2500 0.7500 0.5000  4 P 2.39, 4 Zn 2.39
P 0.5000 0.5000 0.0000  8 Fe 2.39



First-principles (SCAN) data for a PBEsol-optimized structure of CrHgW2, as listed in Alexandria.

## Properties
N(E_F) ... 0.49 states/eV/atom
Crystal system ... monoclinic
SG ... No. 8
DFT formation energy ... 2.62 eV/f.u.
Mass density ... 16.61 Mg/m³
Magnetic moment ... 0.00 μB/f.u.

a b c (Å): 3.1844 4.4678 5.0351
angles (deg): 112.86 108.43 90.00
With the nearest neighbours (Å) after each atom.
Element x y z (fractional)
W 0.7657 0.2548 0.5315  2 Cr 2.49, 2 W 2.72, 4 Hg 2.74-2.77
Hg 0.2374 0.7259 0.4748  3 Cr 2.72-2.91, 8 W 2.74-3.01
Cr 0.4838 0.5026 0.9675  4 W 2.49-2.71, 2 Hg 2.72
W 0.0131 0.0167 0.0262  4 Cr 2.71-2.80, 3 W 2.72-2.96, 4 Hg 2.89-3.01



First-principles (SCAN) data for a PBEsol-optimized structure of GdAl3Pb2O8, as listed in Alexandria.

## Properties
N(E_F) ... 0.00 states/eV/atom
Crystal system ... cubic
SG ... No. 224
Mass density ... 6.09 Mg/m³
Uncorrected formation energy ... -2801 meV per atom
Magnetic moment ... 6.98 μB/f.u.

a b c (Å): 9.4754 9.4754 9.4754
angles (deg): 90.00 90.00 90.00
With the nearest neighbours (Å) after each atom.
Element x y z (fractional)
Pb 0.3662 0.6338 0.6338  3 O 2.34
Pb 0.3662 0.3662 0.3662  3 O 2.34
O 0.6112 0.3888 0.3888  1 Gd 2.28, 3 Pb 2.34
O 0.3406 0.0142 0.6594  2 Al 1.74
Gd 0.7500 0.7500 0.7500  8 O 2.28-2.54
O 0.3406 0.3406 0.9858  2 Al 1.74
O 0.1594 0.1594 0.5142  2 Al 1.74
Pb 0.1338 0.8662 0.8662  3 O 2.34
Al 0.0000 0.5000 0.2500  4 O 1.74
O 0.1594 0.8406 0.4858  2 Al 1.74
O 0.3406 0.6594 0.0142  2 Al 1.74
O 0.1594 0.5142 0.1594  2 Al 1.74
O 0.8406 0.5142 0.8406  2 Al 1.74
Pb 0.8662 0.1338 0.8662  3 O 2.34
O 0.3406 0.9858 0.3406  2 Al 1.74
O 0.6594 0.3406 0.0142  2 Al 1.74
Al 0.5000 0.0000 0.2500  4 O 1.74
O 0.8406 0.8406 0.5142  2 Al 1.74
Al 0.7500 0.5000 0.0000  4 O 1.74
O 0.3888 0.6112 0.3888  1 Gd 2.28, 3 Pb 2.34
Al 0.7500 0.0000 0.5000  4 O 1.74
O 0.0142 0.3406 0.6594  2 Al 1.74
O 0.6594 0.9858 0.6594  2 Al 1.74
O 0.0142 0.6594 0.3406  2 Al 1.74
O 0.8406 0.4858 0.1594  2 Al 1.74
O 0.4858 0.1594 0.8406  2 Al 1.74
O 0.1112 0.8888 0.1112  1 Gd 2.28, 3 Pb 2.34
O 0.3888 0.3888 0.6112  1 Gd 2.28, 3 Pb 2.34
O 0.6594 0.0142 0.3406  2 Al 1.74
Gd 0.2500 0.7500 0.2500  8 O 2.28-2.54
O 0.5142 0.8406 0.8406  2 Al 1.74
Al 0.0000 0.7500 0.5000  4 O 1.74
O 0.6594 0.6594 0.9858  2 Al 1.74
Pb 0.6338 0.6338 0.3662  3 O 2.34
Al 0.2500 0.0000 0.5000  4 O 1.74
O 0.1594 0.4858 0.8406  2 Al 1.74
Al 0.0000 0.5000 0.7500  4 O 1.74
Al 0.2500 0.5000 0.0000  4 O 1.74
O 0.9858 0.3406 0.3406  2 Al 1.74
Gd 0.2500 0.2500 0.7500  8 O 2.28-2.54
O 0.9858 0.6594 0.6594  2 Al 1.74
O 0.6112 0.6112 0.6112  1 Gd 2.28, 3 Pb 2.34
Al 0.5000 0.0000 0.7500  4 O 1.74
O 0.8406 0.1594 0.4858  2 Al 1.74
O 0.1112 0.1112 0.8888  1 Gd 2.28, 3 Pb 2.34
Pb 0.1338 0.1338 0.1338  3 O 2.34
Pb 0.6338 0.3662 0.6338  3 O 2.34
Gd 0.7500 0.2500 0.2500  8 O 2.28-2.54
Al 0.0000 0.2500 0.5000  4 O 1.74
Pb 0.8662 0.8662 0.1338  3 O 2.34
O 0.5142 0.1594 0.1594  2 Al 1.74
O 0.4858 0.8406 0.1594  2 Al 1.74
Al 0.5000 0.2500 0.0000  4 O 1.74
O 0.8888 0.1112 0.1112  1 Gd 2.28, 3 Pb 2.34
O 0.8888 0.8888 0.8888  1 Gd 2.28, 3 Pb 2.34
Al 0.5000 0.7500 0.0000  4 O 1.74



First-principles (SCAN) data for a PBEsol-optimized structure of InPbAu3, as listed in Alexandria.

## Properties
N(E_F) ... 0.33 states/eV/atom
Crystal system ... cubic
SG ... No. 221
DFT formation energy ... 1.69 eV/f.u.
Mass density ... 11.60 Mg/m³
Magnetic moment ... 0.00 μB/f.u.

a b c (Å): 5.0747 5.0747 5.0747
angles (deg): 90.00 90.00 90.00
With the nearest neighbours (Å) after each atom.
Element x y z (fractional)
Au 0.5000 0.0000 0.0000  2 In 2.54
Au 0.0000 0.0000 0.5000  2 In 2.54
In 0.0000 0.0000 0.0000  6 Au 2.54
Au 0.0000 0.5000 0.0000  2 In 2.54
Pb 0.5000 0.5000 0.5000  12 Au 3.59



First-principles (SCAN) data for a PBEsol-optimized structure of Sr2TeBr, as listed in Alexandria.

## Properties
N(E_F) ... 0.48 states/eV/atom
Crystal system ... tetragonal
SG ... No. 122
Mass density ... 3.44 Mg/m³
Uncorrected formation energy ... -1498 meV per atom
Magnetic moment ... 0.91 μB/f.u.

a b c (Å): 7.1116 7.1116 8.8777
angles (deg): 113.61 113.61 90.00
With the nearest neighbours (Å) after each atom.
Element x y z (fractional)
Sr 0.3823 0.8750 0.2500  2 Br 3.08, 2 Te 3.14
Br 0.7500 0.2500 0.5000  4 Sr 3.08
Sr 0.6250 0.6177 0.7500  2 Br 3.08, 2 Te 3.14
Te 0.0000 0.0000 0.0000  4 Sr 3.14
Sr 0.8677 0.3750 0.2500  2 Br 3.08, 2 Te 3.14
Te 0.2500 0.7500 0.5000  4 Sr 3.14
Br 0.5000 0.5000 0.0000  4 Sr 3.08
Sr 0.1250 0.1323 0.7500  2 Br 3.08, 2 Te 3.14



First-principles (SCAN) data for a PBEsol-optimized structure of SrPAu3, as listed in Alexandria.

## Properties
N(E_F) ... 0.18 states/eV/atom
Crystal system ... cubic
SG ... No. 221
DFT formation energy ... -2.43 eV/f.u.
Mass density ... 10.70 Mg/m³
Magnetic moment ... 0.00 μB/f.u.

a b c (Å): 4.7926 4.7926 4.7926
angles (deg): 90.00 90.00 90.00
With the nearest neighbours (Å) after each atom.
Element x y z (fractional)
Au 0.5000 0.0000 0.0000  2 P 2.40
Au 0.0000 0.0000 0.5000  2 P 2.40
Sr 0.5000 0.5000 0.5000  12 Au 3.39
Au 0.0000 0.5000 0.0000  2 P 2.40
P 0.0000 0.0000 0.0000  6 Au 2.40



First-principles (SCAN) data for a PBEsol-optimized structure of CaTi4Cu3O12, as listed in Alexandria.

## Properties
Crystal system ... cubic
SG ... No. 204
Mass density ... 5.10 Mg/m³
Uncorrected formation energy ... -2604 meV per atom
Magnetic moment ... 3.00 μB/f.u.

a b c (Å): 6.3817 6.3817 6.3817
angles (deg): 109.47 109.47 109.47
With the nearest neighbours (Å) after each atom.
Element x y z (fractional)
O 0.8239 0.3035 0.1275  1 Cu 1.94, 2 Ti 1.96
O 0.1761 0.6965 0.8725  1 Cu 1.94, 2 Ti 1.96
O 0.6965 0.5204 0.8239  1 Cu 1.94, 2 Ti 1.96
Cu 0.5000 0.5000 0.0000  4 O 1.94
O 0.1275 0.8239 0.3035  1 Cu 1.94, 2 Ti 1.96
Cu 0.0000 0.5000 0.5000  4 O 1.94
Cu 0.5000 0.0000 0.5000  4 O 1.94
O 0.4796 0.1761 0.3035  1 Cu 1.94, 2 Ti 1.96
Ca 0.0000 0.0000 0.0000  12 O 2.59
O 0.5204 0.8239 0.6965  1 Cu 1.94, 2 Ti 1.96
O 0.3035 0.1275 0.8239  1 Cu 1.94, 2 Ti 1.96
O 0.3035 0.4796 0.1761  1 Cu 1.94, 2 Ti 1.96
O 0.6965 0.8725 0.1761  1 Cu 1.94, 2 Ti 1.96
Ti 0.0000 0.0000 0.5000  6 O 1.96
O 0.8725 0.1761 0.6965  1 Cu 1.94, 2 Ti 1.96
O 0.1761 0.3035 0.4796  1 Cu 1.94, 2 Ti 1.96
O 0.8239 0.6965 0.5204  1 Cu 1.94, 2 Ti 1.96
Ti 0.5000 0.5000 0.5000  6 O 1.96
Ti 0.5000 0.0000 0.0000  6 O 1.96
Ti 0.0000 0.5000 0.0000  6 O 1.96



First-principles (SCAN) data for a PBEsol-optimized structure of FeSi3Hg, as listed in Alexandria.

## Properties
N(E_F) ... 0.73 states/eV/atom
Crystal system ... cubic
SG ... No. 221
Mass density ... 6.67 Mg/m³
Uncorrected formation energy ... 450 meV per atom
Magnetic moment ... 0.00 μB/f.u.

a b c (Å): 4.3936 4.3936 4.3936
angles (deg): 90.00 90.00 90.00
With the nearest neighbours (Å) after each atom.
Element x y z (fractional)
Si 0.0000 0.5000 0.0000  2 Fe 2.20
Hg 0.5000 0.5000 0.5000  12 Si 3.11
Fe 0.0000 0.0000 0.0000  6 Si 2.20
Si 0.0000 0.0000 0.5000  2 Fe 2.20
Si 0.5000 0.0000 0.0000  2 Fe 2.20



First-principles (SCAN) data for a PBEsol-optimized structure of Be3GeI, as listed in Alexandria.

## Properties
N(E_F) ... 0.52 states/eV/atom
Crystal system ... cubic
SG ... No. 221
Mass density ... 3.72 Mg/m³
Uncorrected formation energy ... 1772 meV per atom
Magnetic moment ... 0.00 μB/f.u.

a b c (Å): 4.6605 4.6605 4.6605
angles (deg): 90.00 90.00 90.00
With the nearest neighbours (Å) after each atom.
Element x y z (fractional)
I 0.0000 0.0000 0.0000  6 Be 2.33
Ge 0.5000 0.5000 0.5000  12 Be 3.30
Be 0.0000 0.5000 0.0000  2 I 2.33
Be 0.0000 0.0000 0.5000  2 I 2.33
Be 0.5000 0.0000 0.0000  2 I 2.33



First-principles (SCAN) data for a PBEsol-optimized structure of CuRe2Te, as listed in Alexandria.

## Properties
N(E_F) ... 1.18 states/eV/atom
Crystal system ... trigonal
SG ... No. 166
Mass density ... 14.92 Mg/m³
Uncorrected formation energy ... 942 meV per atom
Magnetic moment ... 0.00 μB/f.u.

a b c (Å): 2.9851 2.9851 8.3079
angles (deg): 79.65 79.65 60.00
With the nearest neighbours (Å) after each atom.
Element x y z (fractional)
Re 0.7474 0.7474 0.7578  3 Cu 2.62, 3 Te 2.71
Re 0.2526 0.2526 0.2422  3 Cu 2.62, 3 Te 2.71
Cu 0.0000 0.0000 0.0000  6 Re 2.62
Te 0.5000 0.5000 0.5000  6 Re 2.71, 6 Te 2.99



First-principles (SCAN) data for a PBEsol-optimized structure of KAs2, as listed in Alexandria.

## Properties
N(E_F) ... 0.67 states/eV/atom
Crystal system ... cubic
SG ... No. 225
DFT formation energy ... 2.18 eV/f.u.
Mass density ... 3.86 Mg/m³
Magnetic moment ... 0.00 μB/f.u.

a b c (Å): 4.8632 4.8632 4.8632
angles (deg): 60.00 60.00 60.00
With the nearest neighbours (Å) after each atom.
Element x y z (fractional)
K 0.0000 0.0000 0.0000  8 As 2.98
As 0.7500 0.7500 0.7500  4 K 2.98
As 0.2500 0.2500 0.2500  4 K 2.98



Q: What is the magnetic moment in the fifth record?
A: 0.00 μB/f.u.